! Na2NiHgF8, relaxed, DFT PBE with a Hubbard U; values from VASP
! Size of the total moment (μB per atom): 0.00
! V (Å³/cell): 174.5
! Energy (eV per atom): -3.607
! Symmetry: P2/m (10)
&SYSTEM
  ibrav = 0, nat = 12, ntyp = 4
/
ATOMIC_SPECIES
Na 22.99 Na.upf
Ni 58.69 Ni.upf
Hg 200.59 Hg.upf
F 19.00 F.upf
CELL_PARAMETERS angstrom
4.929 0.000 0.000
0.000 7.151 0.000
-0.236 0.000 4.952
ATOMIC_POSITIONS crystal
Na 0.000 0.235 0.000
Na 0.000 0.765 0.000
Ni 0.500 0.000 0.500
Hg 0.500 0.500 0.500
F 0.196 0.500 0.198
F 0.235 0.000 0.238
F 0.324 0.182 0.676
F 0.324 0.818 0.676
F 0.676 0.182 0.324
F 0.676 0.818 0.324
F 0.765 0.000 0.762
F 0.804 0.500 0.802